10
Lattice="5.057 2.919 4.126 -5.057 2.919 4.126 0.000 -5.839 4.126" Properties=species:S:1:pos:R:3 comment="La6ErTh3, optimized geometry, DFT GGA-PBE" n_ef_per_ev_atom=1.76 ef_kj_per_mol_fu=246 spacegroup=R3 m_tot_mub_per_fu=0.00 pbc="T T T"
La -1.636 -3.004 4.126
La -3.274 0.013 6.169
La -1.783 2.919 4.126
La 1.626 -2.841 6.169
La 3.419 0.085 4.126
La 1.648 2.829 6.169
Er 0.000 0.000 9.266
Th 0.000 0.000 3.078
Th 0.000 0.000 6.181
Th 0.000 0.000 12.341

5
Lattice="5.597 0.000 0.000 0.000 5.597 0.000 0.000 0.000 5.597" Properties=species:S:1:pos:R:3 comment="HfTcBi3, optimized geometry, DFT GGA-PBE" n_ef_per_ev_atom=0.99 ef_kj_per_mol_fu=567 spacegroup=Pm-3m m_tot_mub_per_fu=4.15 pbc="T T T"
Hf 0.000 0.000 0.000
Tc 2.799 2.799 2.799
Bi 0.000 0.000 2.799
Bi 0.000 2.799 0.000
Bi 2.799 0.000 0.000

5
Lattice="5.917 0.000 0.000 0.000 5.917 0.000 0.000 0.000 5.917" Properties=species:S:1:pos:R:3 comment="Sr3TaC, optimized geometry, DFT GGA-PBE" n_ef_per_ev_atom=1.62 ef_kj_per_mol_fu=1059 spacegroup=Pm-3m m_tot_mub_per_fu=0.86 pbc="T T T"
Sr 0.000 0.000 2.959
Sr 0.000 2.959 0.000
Sr 2.959 0.000 0.000
Ta 0.000 0.000 0.000
C 2.959 2.959 2.959

Repeat the second record exactly.
5
Lattice="5.597 0.000 0.000 0.000 5.597 0.000 0.000 0.000 5.597" Properties=species:S:1:pos:R:3 comment="HfTcBi3, optimized geometry, DFT GGA-PBE" n_ef_per_ev_atom=0.99 ef_kj_per_mol_fu=567 spacegroup=Pm-3m m_tot_mub_per_fu=4.15 pbc="T T T"
Hf 0.000 0.000 0.000
Tc 2.799 2.799 2.799
Bi 0.000 0.000 2.799
Bi 0.000 2.799 0.000
Bi 2.799 0.000 0.000